A geometry-optimized PmInPb3 structure, computed with PBE.

Geometry as CIF:
```
data_PmInPb3
_chemical_formula_sum 'Pm1 In1 Pb3'
_space_group_name_H-M_alt 'P 1'
_space_group_IT_number 1
_space_group_name_Hall 'P 1'
_cell_length_a 4.466
_cell_length_b 6.129
_cell_length_c 6.161
_cell_angle_alpha 81.77
_cell_angle_beta 68.77
_cell_angle_gamma 68.93
loop_
_atom_site_label
_atom_site_type_symbol
_atom_site_fract_x
_atom_site_fract_y
_atom_site_fract_z
Pm1 Pm 0.000 0.000 0.000
In1 In 0.798 0.604 0.798
Pb1 Pb 0.205 0.418 0.168
Pb2 Pb 0.384 0.813 0.413
Pb3 Pb 0.606 0.202 0.588
```

E_form   -1.075 eV per formula unit

A geometry-optimized NbRe2SnSb structure, computed with PBE.

Geometry as CIF:
```
data_NbRe2SnSb
_chemical_formula_sum 'Nb1 Re2 Sn1 Sb1'
_space_group_name_H-M_alt 'P 4/m m m'
_space_group_IT_number 123
_space_group_name_Hall '-P 4 2'
_cell_length_a 4.864
_cell_length_b 4.864
_cell_length_c 5.231
_cell_angle_alpha 90.00
_cell_angle_beta 90.00
_cell_angle_gamma 90.00
loop_
_atom_site_label
_atom_site_type_symbol
_atom_site_fract_x
_atom_site_fract_y
_atom_site_fract_z
Nb1 Nb 0.000 0.000 0.000
Re1 Re 0.000 0.500 0.000
Sn1 Sn 0.000 0.000 0.500
Sb1 Sb 0.500 0.500 0.500
```

A geometry-optimized NaEuDy2 structure, computed with PBE.

Geometry as CIF:
```
data_NaEuDy2
_chemical_formula_sum 'Na3 Eu3 Dy6'
_space_group_name_H-M_alt 'R -3 m'
_space_group_IT_number 166
_space_group_name_Hall '-R 3 2"'
_cell_length_a 3.5427
_cell_length_b 3.5427
_cell_length_c 38.9542
_cell_angle_alpha 90.00
_cell_angle_beta 90.00
_cell_angle_gamma 120.00
loop_
_atom_site_label
_atom_site_type_symbol
_atom_site_fract_x
_atom_site_fract_y
_atom_site_fract_z
Na1 Na 0.0000 0.0000 0.0000
Eu1 Eu 0.0000 0.0000 0.5000
Dy1 Dy 0.0000 0.0000 0.0895
```

E_form   1.011 eV per formula unit

A geometry-optimized NaPuSe2O8 structure, computed with PBE.

Geometry as CIF:
```
data_NaPuSe2O8
_chemical_formula_sum 'Na2 Pu2 Se4 O16'
_space_group_name_H-M_alt 'I -4 m 2'
_space_group_IT_number 119
_space_group_name_Hall 'I -4 -2'
_cell_length_a 7.350
_cell_length_b 7.350
_cell_length_c 6.462
_cell_angle_alpha 90.00
_cell_angle_beta 90.00
_cell_angle_gamma 90.00
loop_
_atom_site_label
_atom_site_type_symbol
_atom_site_fract_x
_atom_site_fract_y
_atom_site_fract_z
Na1 Na 0.000 0.000 0.000
Pu1 Pu 0.000 0.500 0.750
Se1 Se 0.000 0.000 0.500
Se2 Se 0.000 0.500 0.250
O1 O 0.000 0.182 0.659
O2 O 0.000 0.324 0.084
```

A geometry-optimized ZrTaTcBi2 structure, computed with PBE.

Geometry as CIF:
```
data_ZrTaTcBi2
_chemical_formula_sum 'Zr1 Ta1 Tc1 Bi2'
_space_group_name_H-M_alt 'P 4/m m m'
_space_group_IT_number 123
_space_group_name_Hall '-P 4 2'
_cell_length_a 5.522
_cell_length_b 5.522
_cell_length_c 4.666
_cell_angle_alpha 90.00
_cell_angle_beta 90.00
_cell_angle_gamma 90.00
loop_
_atom_site_label
_atom_site_type_symbol
_atom_site_fract_x
_atom_site_fract_y
_atom_site_fract_z
Zr1 Zr 0.000 0.000 0.000
Ta1 Ta 0.500 0.500 0.500
Tc1 Tc 0.000 0.000 0.500
Bi1 Bi 0.000 0.500 0.000
```

E_form   8.330 eV per formula unit

A geometry-optimized ReBiRu2 structure, computed with PBE.

Geometry as CIF:
```
data_ReBiRu2
_chemical_formula_sum 'Re4 Bi4 Ru8'
_space_group_name_H-M_alt 'I -4 2 d'
_space_group_IT_number 122
_space_group_name_Hall 'I -4 2bw'
_cell_length_a 5.716
_cell_length_b 5.716
_cell_length_c 11.969
_cell_angle_alpha 90.00
_cell_angle_beta 90.00
_cell_angle_gamma 90.00
loop_
_atom_site_label
_atom_site_type_symbol
_atom_site_fract_x
_atom_site_fract_y
_atom_site_fract_z
Re1 Re 0.000 0.000 0.000
Bi1 Bi 0.000 0.000 0.500
Ru1 Ru 0.205 0.250 0.125
```

Distance to the lowest polymorph of the same formula   244 meV per atom
E_form   4.084 eV per formula unit

For reference, D(E_F) by record: 2.98; 5.83; 15.58; 27.21; 6.45; 1.59 states/eV per cell.
For reference, uncorrected energy by record: -3.94; -6.86; -4.95; -6.55; -6.04; -7.70 eV per atom.